Entry from Alexandria: an optimized crystal structure of K3Ac2PuS6 (PBE-GGA).

Unit cell a=7.5232 b=7.5232 c=7.7987 alpha=99.28 beta=99.28 gamma=119.99
Last column: magnetic moment on the atom in μB.
Atoms (fractional coordinates):
K: 0.1660 0.8340 0.5000  0.00
K: 0.8340 0.1660 0.5000  0.00
K: 0.5000 0.5000 0.5000  0.00
Ac: 0.3333 0.6667 0.0000  -0.01
Ac: 0.6667 0.3333 0.0000  -0.01
Pu: 0.0000 0.0000 0.0000  -5.02
S: 0.9301 0.6118 0.7903  0.03
S: 0.7515 0.7515 0.2083  0.03
S: 0.0699 0.3882 0.2097  0.03
S: 0.6118 0.9301 0.7903  0.03
S: 0.2485 0.2485 0.7917  0.03
S: 0.3882 0.0699 0.2097  0.03

Summary:
**Space group**: No. 12
**Formation energy without anion corrections**: -1765 meV per atom

Entry from Alexandria: an optimized crystal structure of K3AcPu2S6 (PBE-GGA).

Unit cell a=7.3201 b=7.3201 c=7.7646 alpha=99.07 beta=99.07 gamma=120.01
Last column: magnetic moment on the atom in μB.
Atoms (fractional coordinates):
K: 0.1660 0.8340 0.5000  0.00
K: 0.8340 0.1660 0.5000  0.00
K: 0.5000 0.5000 0.5000  0.00
Ac: 0.0000 0.0000 0.0000  0.02
Pu: 0.3332 0.6668 0.0000  5.06
Pu: 0.6668 0.3332 0.0000  5.06
S: 0.9316 0.5804 0.7955  -0.07
S: 0.7175 0.7175 0.2054  -0.07
S: 0.0684 0.4196 0.2045  -0.07
S: 0.5804 0.9316 0.7955  -0.07
S: 0.2825 0.2825 0.7946  -0.07
S: 0.4196 0.0684 0.2045  -0.07

Summary:
**Space group**: No. 12
**Formation energy without anion corrections**: -1670 meV per atom

Entry from Alexandria: an optimized crystal structure of K2AcPuS4 (PBE-GGA).

Unit cell a=4.2827 b=7.4421 c=7.7837 alpha=108.61 beta=90.00 gamma=90.00
Last column: magnetic moment on the atom in μB.
Atoms (fractional coordinates):
K: 0.5000 0.0000 0.5000  0.00
K: 0.0000 0.5000 0.5000  0.00
Ac: 0.0000 0.0000 0.0000  0.01
Pu: 0.5000 0.5000 0.0000  5.05
S: 0.5000 0.2512 0.2123  -0.03
S: 0.5000 0.7488 0.7877  -0.03
S: 0.0000 0.2810 0.7984  -0.07
S: 0.0000 0.7190 0.2016  -0.07

Summary:
**Space group**: No. 10
**Formation energy without anion corrections**: -1711 meV per atom

Entry from Alexandria: an optimized crystal structure of K3Ac2PuSe6 (PBE-GGA).

Unit cell a=7.7961 b=7.7961 c=8.1143 alpha=99.24 beta=99.24 gamma=119.99
Last column: magnetic moment on the atom in μB.
Atoms (fractional coordinates):
K: 0.1673 0.8327 0.5000  0.00
K: 0.8327 0.1673 0.5000  0.00
K: 0.5000 0.5000 0.5000  0.00
Ac: 0.3334 0.6666 0.0000  0.01
Ac: 0.6666 0.3334 0.0000  0.01
Pu: 0.0000 0.0000 0.0000  5.09
Se: 0.9287 0.6092 0.7862  -0.03
Se: 0.7520 0.7520 0.2129  -0.03
Se: 0.0713 0.3908 0.2138  -0.03
Se: 0.6092 0.9287 0.7862  -0.03
Se: 0.2480 0.2480 0.7871  -0.03
Se: 0.3908 0.0713 0.2138  -0.03

Summary:
**Space group**: No. 12
**Formation energy without anion corrections**: -1676 meV per atom

Entry from Alexandria: an optimized crystal structure of K2AcPuSe4 (PBE-GGA).

Unit cell a=4.4450 b=7.7175 c=8.0993 alpha=108.55 beta=90.00 gamma=90.00
Last column: magnetic moment on the atom in μB.
Atoms (fractional coordinates):
K: 0.5000 0.0000 0.5000  0.00
K: 0.0000 0.5000 0.5000  0.00
Ac: 0.0000 0.0000 0.0000  0.01
Pu: 0.5000 0.5000 0.0000  5.12
Se: 0.5000 0.2514 0.2162  -0.03
Se: 0.5000 0.7486 0.7838  -0.03
Se: 0.0000 0.2786 0.7940  -0.07
Se: 0.0000 0.7214 0.2060  -0.07

Summary:
**Space group**: No. 10
**Formation energy without anion corrections**: -1616 meV per atom

Entry from Alexandria: an optimized crystal structure of KAc2Pu3Te6 (PBE-GGA).

Unit cell a=4.5737 b=9.3462 c=10.3606 alpha=103.41 beta=102.75 gamma=90.00
Last column: magnetic moment on the atom in μB.
Atoms (fractional coordinates):
K: 0.5000 0.0000 0.0000  0.00
Ac: 0.8339 0.6665 0.6678  -0.02
Ac: 0.1661 0.3335 0.3322  -0.02
Pu: 0.5000 0.5000 0.0000  5.45
Pu: 0.8339 0.1665 0.6677  -5.54
Pu: 0.1661 0.8335 0.3323  -5.54
Te: 0.3277 0.9256 0.6554  0.05
Te: 0.6630 0.5943 0.3261  0.02
Te: 0.6723 0.0744 0.3446  0.05
Te: 0.9968 0.2662 0.9937  -0.02
Te: 0.0032 0.7338 0.0063  -0.02
Te: 0.3370 0.4057 0.6739  0.02

Summary:
**Space group**: No. 12
**Formation energy without anion corrections**: -1230 meV per atom

Entry from Alexandria: an optimized crystal structure of K3Ac2PuTe6 (PBE-GGA).

Unit cell a=4.7690 b=9.9063 c=10.9982 alpha=105.92 beta=102.52 gamma=90.00
Last column: magnetic moment on the atom in μB.
Atoms (fractional coordinates):
K: 0.5000 0.5000 0.0000  0.00
K: 0.8320 0.1651 0.6640  0.00
K: 0.1680 0.8349 0.3360  0.00
Ac: 0.8350 0.6702 0.6700  0.00
Ac: 0.1650 0.3298 0.3300  0.00
Pu: 0.5000 0.0000 0.0000  5.21
Te: 0.3448 0.9086 0.6895  -0.03
Te: 0.6722 0.5703 0.3443  0.00
Te: 0.6552 0.0914 0.3105  -0.03
Te: 0.0038 0.2166 0.0075  -0.07
Te: 0.9962 0.7834 0.9925  -0.07
Te: 0.3278 0.4297 0.6557  0.00

Summary:
**Space group**: No. 12
**Formation energy without anion corrections**: -1354 meV per atom

Entry from Alexandria: an optimized crystal structure of K4Ac3PuTe8 (PBE-GGA).

Unit cell a=9.5926 b=9.9285 c=9.5918 alpha=118.90 beta=120.00 gamma=90.00
Last column: magnetic moment on the atom in μB.
Atoms (fractional coordinates):
K: 0.5000 0.0000 0.0000  0.00
K: 0.5000 0.0000 0.5000  0.00
K: 0.0000 0.0000 0.0000  0.00
K: 0.0000 0.0000 0.5000  0.00
Ac: 0.5000 0.5000 0.0000  0.00
Ac: 0.5000 0.5000 0.5000  0.00
Ac: 0.0000 0.5000 0.5000  0.00
Pu: 0.0000 0.5000 0.0000  5.20
Te: 0.2330 0.7170 0.9841  -0.03
Te: 0.2330 0.7170 0.4660  -0.03
Te: 0.2581 0.2744 0.5162  0.00
Te: 0.7511 0.7170 0.9841  -0.03
Te: 0.2489 0.2830 0.0159  -0.03
Te: 0.7419 0.7256 0.4838  0.00
Te: 0.7670 0.2830 0.5340  -0.03
Te: 0.7670 0.2830 0.0159  -0.03

Summary:
**Space group**: No. 166
**Formation energy without anion corrections**: -1385 meV per atom

Entry from Alexandria: an optimized crystal structure of KAc2PuTe4 (PBE-GGA).

Unit cell a=4.6980 b=8.1225 c=8.2363 alpha=70.66 beta=90.00 gamma=90.00
Last column: magnetic moment on the atom in μB.
Atoms (fractional coordinates):
K: 0.0000 0.5000 0.5000  0.00
Ac: 0.0000 0.0000 0.0000  0.04
Ac: 0.5000 0.0000 0.5000  0.04
Pu: 0.5000 0.5000 0.0000  5.63
Te: 0.0000 0.7402 0.7618  -0.03
Te: 0.0000 0.2598 0.2382  -0.03
Te: 0.5000 0.7506 0.2408  -0.02
Te: 0.5000 0.2495 0.7592  -0.02

Summary:
**Space group**: No. 10
**Formation energy without anion corrections**: -1337 meV per atom

Entry from Alexandria: an optimized crystal structure of K3AcPu2Te6 (PBE-GGA).

Unit cell a=8.0898 b=8.0898 c=8.6529 alpha=99.00 beta=99.00 gamma=120.01
Last column: magnetic moment on the atom in μB.
Atoms (fractional coordinates):
K: 0.1631 0.8369 0.5000  0.00
K: 0.8369 0.1631 0.5000  0.00
K: 0.5000 0.5000 0.5000  0.00
Ac: 0.0000 0.0000 0.0000  0.00
Pu: 0.3329 0.6671 0.0000  5.22
Pu: 0.6671 0.3329 0.0000  5.22
Te: 0.9283 0.5797 0.7862  -0.07
Te: 0.7225 0.7225 0.2133  -0.07
Te: 0.0717 0.4203 0.2138  -0.07
Te: 0.5797 0.9283 0.7862  -0.07
Te: 0.2775 0.2775 0.7867  -0.07
Te: 0.4203 0.0717 0.2138  -0.07

Summary:
**Space group**: No. 12
**Formation energy without anion corrections**: -1227 meV per atom

Entry from Alexandria: an optimized crystal structure of KRb2Ac (PBE-GGA).

Unit cell a=4.2087 b=4.2087 c=16.8138 alpha=82.81 beta=82.81 gamma=60.00
Atoms (fractional coordinates):
Ac: 0.0000 0.0000 0.0000
K: 0.5000 0.5000 0.5000
Rb: 0.0817 0.0817 0.7549
Rb: 0.9183 0.9183 0.2451

Summary:
**ΔH_f (0 K)**: 0.287 eV per atom
**Space group**: No. 166

Entry from Alexandria: an optimized crystal structure of KAc3Rh (PBE-GGA).

Unit cell a=6.0095 b=6.0095 c=6.0095 alpha=90.00 beta=90.00 gamma=90.00
Atoms (fractional coordinates):
Ac: 0.0000 0.5000 0.0000
Ac: 0.0000 0.0000 0.5000
Ac: 0.5000 0.0000 0.0000
Rh: 0.0000 0.0000 0.0000
K: 0.5000 0.5000 0.5000

Summary:
**ΔH_f (0 K)**: -0.191 eV per atom
**Space group**: No. 221

Entry from Alexandria: an optimized crystal structure of KAc2Rh (PBE-GGA).

Unit cell a=4.3551 b=4.3551 c=12.0396 alpha=79.58 beta=79.58 gamma=60.00
Atoms (fractional coordinates):
Ac: 0.1220 0.1220 0.6341
Ac: 0.8780 0.8780 0.3659
Rh: 0.5000 0.5000 0.5000
K: 0.0000 0.0000 0.0000

Summary:
**ΔH_f (0 K)**: -0.352 eV per atom
**Space group**: No. 166
**E above lowest polymorph**: 44.7 meV/atom

Entry from Alexandria: an optimized crystal structure of KAc2Rh (PBE-GGA).

Unit cell a=3.8031 b=3.8031 c=11.0919 alpha=90.00 beta=90.00 gamma=90.00
Atoms (fractional coordinates):
Ac: 0.0000 0.0000 0.8439
Ac: 0.0000 0.0000 0.1561
Rh: 0.5000 0.5000 0.0000
K: 0.5000 0.5000 0.5000

Summary:
**ΔH_f (0 K)**: -0.204 eV per atom
**Space group**: No. 123
**E above lowest polymorph**: 192.8 meV/atom

Entry from Alexandria: an optimized crystal structure of KAc2Rh (PBE-GGA).

Unit cell a=4.3848 b=4.3875 c=10.7877 alpha=90.12 beta=90.00 gamma=119.98
Atoms (fractional coordinates):
K: 0.0000 0.0000 0.0000
Ac: 0.3329 0.6658 0.3547
Ac: 0.6671 0.3342 0.6453
Rh: 0.0000 0.0000 0.5000

Summary:
**ΔH_f (0 K)**: -0.397 eV per atom
**Space group**: No. 12
**E above lowest polymorph**: 0.0 meV/atom

Entry from Alexandria: an optimized crystal structure of KAcRh (PBE-GGA).

Unit cell a=4.8551 b=4.8551 c=12.5489 alpha=79.14 beta=79.14 gamma=59.44
Atoms (fractional coordinates):
K: 0.9875 0.9875 0.3041
K: 0.7657 0.7657 0.0032
Ac: 0.5760 0.5760 0.5477
Ac: 0.1771 0.1771 0.7596
Rh: 0.2593 0.2593 0.5023
Rh: 0.4939 0.4939 0.8052

Summary:
**ΔH_f (0 K)**: -0.152 eV per atom
**Space group**: No. 12

Entry from Alexandria: an optimized crystal structure of KAc2Ru (PBE-GGA).

Unit cell a=3.7436 b=3.7436 c=11.2442 alpha=90.00 beta=90.00 gamma=90.00
Atoms (fractional coordinates):
Ru: 0.5000 0.5000 0.0000
Ac: 0.0000 0.0000 0.8432
Ac: 0.0000 0.0000 0.1568
K: 0.5000 0.5000 0.5000

Summary:
**ΔH_f (0 K)**: 0.051 eV per atom
**Space group**: No. 123
**E above lowest polymorph**: 156.2 meV/atom

Entry from Alexandria: an optimized crystal structure of KAc3Ru (PBE-GGA).

Unit cell a=5.9373 b=5.9373 c=5.9373 alpha=90.00 beta=90.00 gamma=90.00
Atoms (fractional coordinates):
Ru: 0.0000 0.0000 0.0000
Ac: 0.0000 0.5000 0.0000
Ac: 0.0000 0.0000 0.5000
Ac: 0.5000 0.0000 0.0000
K: 0.5000 0.5000 0.5000

Summary:
**ΔH_f (0 K)**: -0.019 eV per atom
**Space group**: No. 221

Entry from Alexandria: an optimized crystal structure of KAc2Ru (PBE-GGA).

Unit cell a=4.3134 b=4.3134 c=11.9214 alpha=79.58 beta=79.58 gamma=60.00
Atoms (fractional coordinates):
Ru: 0.5000 0.5000 0.5000
Ac: 0.1221 0.1221 0.6338
Ac: 0.8779 0.8779 0.3662
K: 0.0000 0.0000 0.0000

Summary:
**ΔH_f (0 K)**: -0.061 eV per atom
**Space group**: No. 166
**E above lowest polymorph**: 44.6 meV/atom

Entry from Alexandria: an optimized crystal structure of KAc2Ru (PBE-GGA).

Unit cell a=4.3491 b=4.3492 c=10.7072 alpha=90.06 beta=90.00 gamma=120.00
Atoms (fractional coordinates):
K: 0.0000 0.0000 0.0000
Ac: 0.3331 0.6661 0.3560
Ac: 0.6669 0.3339 0.6440
Ru: 0.0000 0.0000 0.5000

Summary:
**ΔH_f (0 K)**: -0.105 eV per atom
**Space group**: No. 12
**E above lowest polymorph**: 0.0 meV/atom

Entry from Alexandria: an optimized crystal structure of KAcS2 (PBE-GGA).

Unit cell a=3.7551 b=3.7551 c=7.7919 alpha=90.00 beta=90.00 gamma=90.00
Atoms (fractional coordinates):
S: 0.0000 0.0000 0.7836
S: 0.0000 0.0000 0.2164
Ac: 0.5000 0.5000 0.0000
K: 0.5000 0.5000 0.5000

Summary:
**Space group**: No. 123
**Formation energy without anion corrections**: -1660 meV per atom

Entry from Alexandria: an optimized crystal structure of KAcS2 (PBE-GGA).

Unit cell a=4.4348 b=4.4349 c=7.8455 alpha=106.42 beta=90.00 gamma=120.00
Atoms (fractional coordinates):
K: 0.0000 0.0000 0.5000
Ac: 0.5000 0.0000 0.0000
S: 0.2378 0.4757 0.2135
S: 0.7622 0.5243 0.7865

Summary:
**Space group**: No. 166
**Formation energy without anion corrections**: -1894 meV per atom

Entry from Alexandria: an optimized crystal structure of KAcS2 (PBE-GGA).

Unit cell a=4.3974 b=4.3974 c=8.0766 alpha=74.20 beta=74.20 gamma=60.00
Atoms (fractional coordinates):
K: 0.4967 0.4967 0.5100
Ac: 0.6676 0.6676 0.9973
S: 0.0715 0.0715 0.7856
S: 0.2643 0.2643 0.2071

Summary:
**Space group**: No. 160
**Formation energy without anion corrections**: -1854 meV per atom

Entry from Alexandria: an optimized crystal structure of KAc3S4 (PBE-GGA).

Unit cell a=6.1164 b=6.1164 c=6.1164 alpha=90.00 beta=90.00 gamma=90.00
Atoms (fractional coordinates):
S: 0.5000 0.0000 0.0000
S: 0.0000 0.5000 0.0000
S: 0.0000 0.0000 0.5000
S: 0.5000 0.5000 0.5000
K: 0.0000 0.0000 0.0000
Ac: 0.0000 0.5000 0.5000
Ac: 0.5000 0.0000 0.5000
Ac: 0.5000 0.5000 0.0000

Summary:
**Space group**: No. 221
**Formation energy without anion corrections**: -1922 meV per atom

Entry from Alexandria: an optimized crystal structure of KAcS4 (PBE-GGA).

Unit cell a=5.7357 b=5.7357 c=5.7357 alpha=60.00 beta=60.00 gamma=60.00
Atoms (fractional coordinates):
S: 0.6253 0.6253 0.1240
S: 0.6253 0.1240 0.6253
S: 0.6253 0.6253 0.6253
S: 0.1240 0.6253 0.6253
Ac: 0.0000 0.0000 0.0000
K: 0.2500 0.2500 0.2500

Summary:
**Space group**: No. 216
**Formation energy without anion corrections**: -394 meV per atom